A plane-wave DFT calculation with SCAN was carried out for PrAlNi at its PBEsol-relaxed geometry.

Results
Density   6.61 g/cm3
N(E_F)   5.72 states/eV per cell
Raw total energy   -22.92 eV per atom

a b c (Å): 6.977 6.977 4.051
angles (deg): 90.00 90.00 120.00
Positions (direct):
Pr (0.000, 0.420, 0.000)
Pr (0.420, 0.000, 0.000)
Pr (0.580, 0.580, 0.000)
Al (0.000, 0.772, 0.500)
Al (0.228, 0.228, 0.500)
Al (0.772, 0.000, 0.500)
Ni (0.000, 0.000, 0.000)
Ni (0.333, 0.667, 0.500)
Ni (0.667, 0.333, 0.500)

=====

A plane-wave DFT calculation with SCAN was carried out for Pr2AlNi2 at its PBEsol-relaxed geometry.

Results
Density   7.20 g/cm3
N(E_F)   3.64 states/eV per cell
Raw total energy   -25.77 eV per atom

a b c (Å): 5.502 5.502 5.502
angles (deg): 134.97 120.88 77.29
Positions (direct):
Pr (0.201, 0.201, 0.000)
Pr (0.799, 0.799, 0.000)
Al (0.500, 0.000, 0.500)
Ni (0.240, 0.500, 0.740)
Ni (0.760, 0.500, 0.260)

=====

A plane-wave DFT calculation with SCAN was carried out for Pr3AlNiS7 at its PBEsol-relaxed geometry.

Results
Formation energy without anion corrections   -180.8 kJ per mole of atoms
Density   4.61 g/cm3
Raw total energy   -20.31 eV per atom

a b c (Å): 10.034 10.034 6.057
angles (deg): 90.00 90.00 120.00
Positions (direct):
Pr (0.142, 0.769, 0.000)
Pr (0.231, 0.372, 0.000)
Pr (0.372, 0.142, 0.500)
Pr (0.628, 0.858, 0.000)
Pr (0.769, 0.628, 0.500)
Pr (0.858, 0.231, 0.500)
Al (0.333, 0.667, 0.577)
Al (0.667, 0.333, 0.077)
Ni (0.000, 0.000, 0.223)
Ni (0.000, 0.000, 0.723)
S (0.087, 0.861, 0.455)
S (0.097, 0.518, 0.723)
S (0.139, 0.226, 0.455)
S (0.226, 0.087, 0.955)
S (0.333, 0.667, 0.210)
S (0.421, 0.903, 0.723)
S (0.482, 0.579, 0.723)
S (0.518, 0.421, 0.223)
S (0.579, 0.097, 0.223)
S (0.667, 0.333, 0.710)
S (0.774, 0.913, 0.455)
S (0.861, 0.774, 0.955)
S (0.903, 0.482, 0.223)
S (0.913, 0.139, 0.955)

=====

A plane-wave DFT calculation with SCAN was carried out for AlNiPt at its PBEsol-relaxed geometry.

Results
Density   12.04 g/cm3
N(E_F)   1.69 states/eV per cell
Raw total energy   -32.12 eV per atom

a b c (Å): 4.754 4.754 4.754
angles (deg): 146.30 139.19 53.93
Positions (direct):
Al (0.000, 0.000, 0.000)
Ni (0.647, 0.647, 0.000)
Pt (0.330, 0.330, 0.000)

=====

A plane-wave DFT calculation with SCAN was carried out for AlNi2Pt at its PBEsol-relaxed geometry.

Results
Density   11.49 g/cm3
N(E_F)   4.11 states/eV per cell
Raw total energy   -28.14 eV per atom

a b c (Å): 4.450 4.450 4.450
angles (deg): 131.03 131.03 71.77
Positions (direct):
Al (0.000, 0.000, 0.000)
Ni (0.250, 0.750, 0.500)
Ni (0.750, 0.250, 0.500)
Pt (0.500, 0.500, 0.000)

=====

A plane-wave DFT calculation with SCAN was carried out for AlNi6Pt at its PBEsol-relaxed geometry.

Results
Density   10.59 g/cm3
N(E_F)   25.34 states/eV per cell
Raw total energy   -22.15 eV per atom

a b c (Å): 6.162 6.162 10.059
angles (deg): 90.00 90.00 109.50
Positions (direct):
Al (0.000, 0.000, 0.247)
Al (0.000, 0.000, 0.753)
Al (0.250, 0.750, 0.000)
Al (0.750, 0.250, 0.000)
Ni (0.000, 0.000, 0.000)
Ni (0.000, 0.000, 0.500)
Ni (0.122, 0.374, 0.122)
Ni (0.122, 0.374, 0.878)
Ni (0.123, 0.371, 0.372)
Ni (0.123, 0.371, 0.628)
Ni (0.248, 0.752, 0.246)
Ni (0.248, 0.752, 0.754)
Ni (0.371, 0.123, 0.372)
Ni (0.371, 0.123, 0.628)
Ni (0.374, 0.122, 0.122)
Ni (0.374, 0.122, 0.878)
Ni (0.500, 0.500, 0.000)
Ni (0.500, 0.500, 0.500)
Ni (0.626, 0.878, 0.122)
Ni (0.626, 0.878, 0.878)
Ni (0.629, 0.877, 0.372)
Ni (0.629, 0.877, 0.628)
Ni (0.752, 0.248, 0.246)
Ni (0.752, 0.248, 0.754)
Ni (0.877, 0.629, 0.372)
Ni (0.877, 0.629, 0.628)
Ni (0.878, 0.626, 0.122)
Ni (0.878, 0.626, 0.878)
Pt (0.249, 0.751, 0.500)
Pt (0.500, 0.500, 0.249)
Pt (0.500, 0.500, 0.751)
Pt (0.751, 0.249, 0.500)

=====

A plane-wave DFT calculation with SCAN was carried out for AlNi2Pt at its PBEsol-relaxed geometry.

Results
Density   11.52 g/cm3
N(E_F)   2.37 states/eV per cell
Raw total energy   -28.16 eV per atom

a b c (Å): 2.705 3.419 5.291
angles (deg): 90.00 90.00 90.00
Positions (direct):
Al (0.000, 0.000, 0.000)
Ni (0.000, 0.000, 0.462)
Ni (0.500, 0.500, 0.242)
Pt (0.500, 0.500, 0.734)

=====

A plane-wave DFT calculation with SCAN was carried out for AlNi2Pt at its PBEsol-relaxed geometry.

Results
Density   11.52 g/cm3
N(E_F)   3.68 states/eV per cell
Raw total energy   -28.22 eV per atom

a b c (Å): 4.400 4.400 4.400
angles (deg): 129.90 129.90 73.56
Positions (direct):
Al (0.000, 0.000, 0.000)
Ni (0.250, 0.750, 0.500)
Ni (0.500, 0.500, 0.000)
Pt (0.750, 0.250, 0.500)

=====

A plane-wave DFT calculation with SCAN was carried out for AlNiPt at its PBEsol-relaxed geometry.

Results
Density   12.16 g/cm3
N(E_F)   1.32 states/eV per cell
Raw total energy   -32.13 eV per atom

a b c (Å): 5.094 5.094 5.094
angles (deg): 147.34 147.34 46.86
Positions (direct):
Al (0.000, 0.000, 0.000)
Ni (0.358, 0.358, 0.000)
Pt (0.671, 0.671, 0.000)

=====

A plane-wave DFT calculation with SCAN was carried out for ScAlNi2Pt at its PBEsol-relaxed geometry.

Results
Density   7.59 g/cm3
N(E_F)   4.13 states/eV per cell
Raw total energy   -24.37 eV per atom

a b c (Å): 4.128 4.128 4.937
angles (deg): 90.00 90.00 90.00
Positions (direct):
Sc (0.000, 0.000, 0.000)
Al (0.000, 0.000, 0.500)
Ni (0.000, 0.500, 0.500)
Ni (0.500, 0.000, 0.500)
Pt (0.500, 0.500, 0.000)

=====

A plane-wave DFT calculation with SCAN was carried out for Al2NiTePt at its PBEsol-relaxed geometry.

Results
Formation energy without anion corrections   110.6 kJ per mole of atoms
Density   6.27 g/cm3
N(E_F)   2.24 states/eV per cell
Raw total energy   -26.68 eV per atom

a b c (Å): 5.109 5.109 4.418
angles (deg): 90.00 90.00 90.00
Positions (direct):
Al (0.000, 0.500, 0.000)
Al (0.500, 0.000, 0.000)
Ni (0.000, 0.000, 0.500)
Te (0.000, 0.000, 0.000)
Pt (0.500, 0.500, 0.500)

=====

A plane-wave DFT calculation with SCAN was carried out for RbAl3Ni at its PBEsol-relaxed geometry.

Results
E above lowest polymorph   0.000 eV per atom
Density   3.66 g/cm3
N(E_F)   2.93 states/eV per cell
Raw total energy   -11.95 eV per atom

a b c (Å): 4.676 4.676 4.676
angles (deg): 90.00 90.00 90.00
Positions (direct):
Rb (0.000, 0.000, 0.000)
Al (0.000, 0.500, 0.500)
Al (0.500, 0.000, 0.500)
Al (0.500, 0.500, 0.000)
Ni (0.500, 0.500, 0.500)

=====

A plane-wave DFT calculation with SCAN was carried out for RbAl3Ni at its PBEsol-relaxed geometry.

Results
E above lowest polymorph   2.362 eV per atom
Density   2.20 g/cm3
N(E_F)   7.99 states/eV per cell
Raw total energy   -9.59 eV per atom

a b c (Å): 5.535 5.535 5.535
angles (deg): 90.00 90.00 90.00
Positions (direct):
Rb (0.000, 0.000, 0.000)
Al (0.000, 0.000, 0.500)
Al (0.000, 0.500, 0.000)
Al (0.500, 0.000, 0.000)
Ni (0.500, 0.500, 0.500)

=====

A plane-wave DFT calculation with SCAN was carried out for Al3NiRh at its PBEsol-relaxed geometry.

Results
E above lowest polymorph   0.000 eV per atom
Density   5.05 g/cm3
N(E_F)   4.02 states/eV per cell
Raw total energy   -14.64 eV per atom

a b c (Å): 4.304 4.304 4.304
angles (deg): 90.00 90.00 90.00
Positions (direct):
Al (0.000, 0.000, 0.500)
Al (0.000, 0.500, 0.000)
Al (0.500, 0.000, 0.000)
Ni (0.000, 0.000, 0.000)
Rh (0.500, 0.500, 0.500)

=====

A plane-wave DFT calculation with SCAN was carried out for Al2NiRh at its PBEsol-relaxed geometry.

Results
Density   7.13 g/cm3
N(E_F)   1.90 states/eV per cell
Raw total energy   -17.37 eV per atom

a b c (Å): 4.182 4.182 2.872
angles (deg): 90.00 90.00 90.17
Positions (direct):
Al (0.000, 0.500, 0.000)
Al (0.500, 0.000, 0.000)
Ni (0.000, 0.000, 0.500)
Rh (0.500, 0.500, 0.500)

=====

A plane-wave DFT calculation with SCAN was carried out for Al3NiRh at its PBEsol-relaxed geometry.

Results
E above lowest polymorph   0.147 eV per atom
Density   4.27 g/cm3
N(E_F)   2.95 states/eV per cell
Raw total energy   -14.50 eV per atom

a b c (Å): 4.554 4.554 4.554
angles (deg): 90.00 90.00 90.00
Positions (direct):
Al (0.000, 0.000, 0.500)
Al (0.000, 0.500, 0.000)
Al (0.500, 0.000, 0.000)
Ni (0.500, 0.500, 0.500)
Rh (0.000, 0.000, 0.000)

=====

A plane-wave DFT calculation with SCAN was carried out for AlNi6Rh at its PBEsol-relaxed geometry.

Results
Density   9.05 g/cm3
N(E_F)   29.01 states/eV per cell
Raw total energy   -17.53 eV per atom

a b c (Å): 6.126 6.126 9.996
angles (deg): 90.00 90.00 109.46
Positions (direct):
Al (0.000, 0.000, 0.248)
Al (0.000, 0.000, 0.752)
Al (0.250, 0.750, 0.000)
Al (0.750, 0.250, 0.000)
Ni (0.000, 0.000, 0.000)
Ni (0.000, 0.000, 0.500)
Ni (0.124, 0.373, 0.373)
Ni (0.124, 0.373, 0.627)
Ni (0.124, 0.375, 0.124)
Ni (0.124, 0.375, 0.876)
Ni (0.249, 0.751, 0.249)
Ni (0.249, 0.751, 0.751)
Ni (0.373, 0.124, 0.373)
Ni (0.373, 0.124, 0.627)
Ni (0.375, 0.124, 0.124)
Ni (0.375, 0.124, 0.876)
Ni (0.500, 0.500, 0.000)
Ni (0.500, 0.500, 0.500)
Ni (0.625, 0.876, 0.124)
Ni (0.625, 0.876, 0.876)
Ni (0.627, 0.876, 0.373)
Ni (0.627, 0.876, 0.627)
Ni (0.751, 0.249, 0.249)
Ni (0.751, 0.249, 0.751)
Ni (0.876, 0.625, 0.124)
Ni (0.876, 0.625, 0.876)
Ni (0.876, 0.627, 0.373)
Ni (0.876, 0.627, 0.627)
Rh (0.249, 0.751, 0.500)
Rh (0.500, 0.500, 0.250)
Rh (0.500, 0.500, 0.750)
Rh (0.751, 0.249, 0.500)

=====

A plane-wave DFT calculation with SCAN was carried out for AlNi2SnRh at its PBEsol-relaxed geometry.

Results
Density   6.29 g/cm3
N(E_F)   4.47 states/eV per cell
Raw total energy   -20.91 eV per atom

a b c (Å): 4.494 4.494 4.783
angles (deg): 90.00 90.00 90.00
Positions (direct):
Al (0.000, 0.000, 0.000)
Ni (0.000, 0.500, 0.500)
Ni (0.500, 0.000, 0.500)
Sn (0.500, 0.500, 0.500)
Rh (0.500, 0.500, 0.000)

=====

A plane-wave DFT calculation with SCAN was carried out for Al2NiRu at its PBEsol-relaxed geometry.

Results
E above lowest polymorph   0.043 eV per atom
Density   7.13 g/cm3
N(E_F)   1.36 states/eV per cell
Raw total energy   -17.49 eV per atom

a b c (Å): 4.129 4.129 4.129
angles (deg): 60.00 60.00 60.00
Positions (direct):
Al (0.250, 0.250, 0.250)
Al (0.750, 0.750, 0.750)
Ni (0.000, 0.000, 0.000)
Ru (0.500, 0.500, 0.500)

=====

A plane-wave DFT calculation with SCAN was carried out for AlNiRu2 at its PBEsol-relaxed geometry.

Results
Density   9.26 g/cm3
N(E_F)   5.33 states/eV per cell
Raw total energy   -23.48 eV per atom

a b c (Å): 4.956 4.956 4.956
angles (deg): 147.16 127.84 63.02
Positions (direct):
Al (0.000, 0.000, 0.000)
Ni (0.500, 0.500, 0.000)
Ru (0.249, 0.749, 0.500)
Ru (0.751, 0.251, 0.500)

=====

A plane-wave DFT calculation with SCAN was carried out for Al2NiRu at its PBEsol-relaxed geometry.

Results
E above lowest polymorph   0.041 eV per atom
Density   7.09 g/cm3
N(E_F)   1.43 states/eV per cell
Raw total energy   -17.49 eV per atom

a b c (Å): 2.970 2.970 5.674
angles (deg): 90.00 90.00 90.00
Positions (direct):
Al (0.000, 0.000, 0.249)
Al (0.000, 0.000, 0.751)
Ni (0.500, 0.500, 0.000)
Ru (0.500, 0.500, 0.500)

=====

A plane-wave DFT calculation with SCAN was carried out for Al2NiRu at its PBEsol-relaxed geometry.

Results
E above lowest polymorph   0.555 eV per atom
Density   6.88 g/cm3
N(E_F)   1.96 states/eV per cell
Raw total energy   -16.98 eV per atom

a b c (Å): 4.179 4.179 4.179
angles (deg): 60.00 60.00 60.00
Positions (direct):
Al (0.000, 0.000, 0.000)
Al (0.250, 0.250, 0.250)
Ni (0.500, 0.500, 0.500)
Ru (0.750, 0.750, 0.750)

=====

A plane-wave DFT calculation with SCAN was carried out for Al2NiRu at its PBEsol-relaxed geometry.

Results
E above lowest polymorph   0.444 eV per atom
Density   6.79 g/cm3
N(E_F)   2.48 states/eV per cell
Raw total energy   -17.09 eV per atom

a b c (Å): 7.983 7.983 7.983
angles (deg): 20.04 20.04 20.04
Positions (direct):
Al (0.247, 0.247, 0.247)
Al (0.753, 0.753, 0.753)
Ni (0.500, 0.500, 0.500)
Ru (0.000, 0.000, 0.000)

=====

A plane-wave DFT calculation with SCAN was carried out for Al2NiRu at its PBEsol-relaxed geometry.

Results
E above lowest polymorph   0.000 eV per atom
Density   7.13 g/cm3
N(E_F)   0.71 states/eV per cell
Raw total energy   -17.53 eV per atom

a b c (Å): 4.067 4.067 3.009
angles (deg): 90.00 90.00 90.00
Positions (direct):
Al (0.000, 0.500, 0.000)
Al (0.500, 0.000, 0.000)
Ni (0.000, 0.000, 0.500)
Ru (0.500, 0.500, 0.500)